No. 1
Sr2Li2In, relaxed, DFT GGA-PBE; energy of formation = -0.210 eV per atom; distance to the lowest polymorph of the same formula = 0 meV per atom
1.0
6.6157 0.0000 0.0000
-3.3079 5.4908 0.0810
0.0000 -2.3908 8.6238
Sr Li In
4 4 2
Cartesian
2.5113 1.3341 1.3161 Sr
-0.7965 2.9613 3.0768 Sr
0.7965 1.7659 7.3887 Sr
4.1044 0.1387 5.6281 Sr
2.5740 3.0453 4.4641 Li
-0.7339 -1.1408 8.5526 Li
0.7339 0.0546 4.2407 Li
4.0418 4.2407 0.1522 Li
5.4019 -0.5977 2.1560 In
1.2139 -1.7931 6.4679 In

---

No. 2
RuWS2, relaxed, DFT GGA-PBE; formation energy without anion corrections = 0.1330 eV/atom; distance to the lowest polymorph of the same formula = 238 meV per atom
1.0
-0.3725 2.3472 3.5123
-2.7872 3.1936 0.1304
-3.4789 -0.3187 2.4042
Ru S W
1 2 1
Cartesian
0.0000 0.0000 0.0000 Ru
-1.6596 1.3055 1.5117 S
-4.9789 3.9166 4.5352 S
-3.3193 2.6110 3.0235 W

---

No. 3
MgAu2O, relaxed, DFT GGA-PBE; formation energy without anion corrections = -0.3441 eV/atom; distance to the lowest polymorph of the same formula = 0 meV per atom
1.0
3.6694 0.0000 0.0000
0.0000 3.6694 0.0000
1.8347 1.8347 10.2274
Mg Au O
2 4 2
Cartesian
0.0000 0.0000 0.0000 Mg
3.6694 1.8347 5.1137 Mg
2.7484 0.9174 2.5569 Au
0.9210 2.7521 2.5569 Au
2.7521 2.7557 7.6706 Au
4.5868 4.5831 7.6706 Au
1.8347 1.8347 0.0000 O
1.8347 3.6694 5.1137 O

---

No. 4
ScZn2Re, relaxed, DFT GGA-PBE; energy of formation = -0.087 eV per atom; distance to the lowest polymorph of the same formula = 0 meV per atom
1.0
-0.2990 -4.8557 -0.3561
4.2615 -1.8263 -1.5161
-1.1434 3.0930 3.5945
Re Sc Zn
1 1 2
Cartesian
0.2694 -2.5519 1.1511 Re
2.5496 -1.0372 0.5711 Sc
3.9624 -6.6819 -1.8722 Zn
1.9814 -3.3412 -0.9362 Zn

---

No. 5
AlP2S2, relaxed, DFT GGA-PBE; formation energy without anion corrections = 0.7958 eV/atom; distance to the lowest polymorph of the same formula = 275 meV per atom
1.0
4.7285 0.0000 0.0000
0.0000 4.7285 0.0000
0.0000 0.0000 4.3732
P S Al
2 2 1
Cartesian
0.0000 2.3642 0.0000 P
2.3642 0.0000 0.0000 P
2.3642 2.3642 2.1866 S
0.0000 0.0000 2.1866 S
0.0000 0.0000 0.0000 Al

---

No. 6
Na3PuO3, relaxed, DFT GGA-PBE; formation energy without anion corrections = -1.8995 eV/atom; distance to the lowest polymorph of the same formula = 17 meV per atom
1.0
4.6741 0.4926 0.6684
-0.5883 4.6630 0.6684
-0.5883 -0.7424 4.6518
Na Pu O
3 1 3
Cartesian
2.1926 2.7667 0.9251 Na
2.1926 0.0643 2.9165 Na
-0.4383 2.1493 2.9165 Na
0.1497 0.1889 0.2563 Pu
2.4858 0.4350 0.5903 O
-0.1444 -0.1822 2.5813 O
-0.1444 2.5194 0.5903 O

---

No. 7
La2MgZrCl, relaxed, DFT GGA-PBE; formation energy without anion corrections = 0.5580 eV/atom
1.0
6.1347 0.0000 0.0000
0.0000 4.5904 0.0000
0.0000 0.0000 6.1347
Mg Cl Zr La
1 1 1 2
Cartesian
0.0000 0.0000 0.0000 Mg
0.0000 2.2952 0.0000 Cl
3.0673 2.2952 3.0673 Zr
0.0000 0.0000 3.0673 La
3.0673 0.0000 0.0000 La

---

No. 8
Hf2CoHg, relaxed, DFT GGA-PBE; energy of formation = -0.217 eV per atom
1.0
4.3004 0.0000 0.0000
0.0000 6.0001 -2.6671
0.0000 -1.7293 6.6585
Hf Co Hg
4 2 2
Cartesian
1.0751 4.6305 -0.4732 Hf
3.2253 -0.3597 4.4645 Hf
3.2253 0.9633 1.6761 Hf
1.0751 3.3076 2.3152 Hf
3.2253 3.3661 0.6778 Co
1.0751 0.9048 3.3136 Co
1.0751 1.6880 -0.2467 Hg
3.2253 2.5829 4.2380 Hg

---

No. 9
CaAgS2O8, relaxed, DFT GGA-PBE; formation energy without anion corrections = -1.4746 eV/atom
1.0
5.2705 0.0000 0.0000
-2.6353 4.5644 0.0000
0.0000 0.0000 7.2129
Ca Ag S O
1 1 2 8
Cartesian
0.0000 0.0000 0.0000 Ca
0.0000 0.0000 3.6064 Ag
2.6353 1.5215 1.4455 S
0.0000 3.0429 5.7674 S
0.0000 3.0429 0.0385 O
1.4031 0.8128 1.8989 O
3.8651 0.8088 1.8989 O
2.6353 1.5215 7.1744 O
-1.2298 3.7557 5.3140 O
1.2321 3.7517 5.3140 O
-0.0023 1.6215 5.3140 O
2.6376 2.9429 1.8989 O

---

No. 10
CaTa2Tc, relaxed, DFT GGA-PBE; energy of formation = 0.653 eV per atom; distance to the lowest polymorph of the same formula = 387 meV per atom
1.0
4.7623 0.0000 0.0000
0.0000 4.7623 0.0000
0.0000 0.0000 3.2740
Ca Tc Ta
1 1 2
Cartesian
0.0000 2.3811 1.6370 Ca
2.3811 0.0000 1.6370 Tc
0.0000 0.0000 0.0000 Ta
2.3811 2.3811 0.0000 Ta

---

No. 11
La8Tb2Pm3, relaxed, DFT GGA-PBE; energy of formation = 0.179 eV per atom; distance to the lowest polymorph of the same formula = 36 meV per atom
1.0
5.8826 0.0000 0.6667
0.0000 7.7381 0.0000
-1.1735 -3.8690 10.2930
La Tb Pm
8 2 3
Cartesian
-0.4034 3.8690 3.6085 La
5.1125 0.0000 7.3513 La
5.5591 0.0000 3.4439 La
-0.8501 3.8690 7.5158 La
2.0157 1.5762 8.4503 La
2.0157 -1.5762 8.4503 La
2.6933 5.4453 2.5095 La
2.6933 2.2928 2.5095 La
2.3628 0.0000 5.3068 Tb
2.3462 3.8690 5.6530 Tb
2.9413 0.0000 0.3334 Pm
0.0000 2.1812 0.0000 Pm
0.0000 5.5569 0.0000 Pm

---

No. 12
BaNaHg3, relaxed, DFT GGA-PBE; energy of formation = 0.112 eV per atom; distance to the lowest polymorph of the same formula = 487 meV per atom
1.0
6.4577 0.0000 0.0000
0.0000 6.4577 0.0000
0.0000 0.0000 6.4577
Na Hg Ba
1 3 1
Cartesian
3.2289 3.2289 3.2289 Na
0.0000 3.2289 0.0000 Hg
0.0000 0.0000 3.2289 Hg
3.2289 0.0000 0.0000 Hg
0.0000 0.0000 0.0000 Ba

---

No. 13
NdEr3Mg, relaxed, DFT GGA-PBE; energy of formation = 0.166 eV per atom; distance to the lowest polymorph of the same formula = 179 meV per atom
1.0
7.2708 -0.1664 -0.1910
-0.9476 9.2493 -0.0902
-0.9476 -1.3598 9.1492
Nd Er Mg
4 12 4
Cartesian
5.2106 4.8991 1.5966 Nd
3.8003 6.7314 3.7005 Nd
0.1650 2.8240 7.2714 Nd
1.5752 0.9917 5.1675 Nd
2.6321 1.1996 8.9437 Er
6.3788 -1.0543 6.3557 Er
2.7434 6.5235 -0.0758 Er
-1.0033 8.7774 2.5122 Er
5.4838 5.1795 8.2168 Er
3.5271 0.2124 2.5134 Er
-0.1083 2.5436 0.6511 Er
1.8485 7.5107 6.3546 Er
2.1327 3.4707 2.9098 Er
-0.3925 5.4007 5.1260 Er
3.2428 4.2524 5.9581 Er
5.7681 2.3223 3.7419 Er
0.8701 -1.3827 9.0851 Mg
4.5054 9.1057 -0.2172 Mg
0.8701 6.3629 2.3396 Mg
4.5054 1.3602 6.5284 Mg

---

No. 14
Rb2MnNbCo, relaxed, DFT GGA-PBE; energy of formation = 1.742 eV per atom
1.0
-3.6725 -5.4810 0.7232
1.1640 -0.1877 4.4888
-5.2720 3.7334 1.5232
Nb Mn Co Rb
1 1 1 2
Cartesian
0.5820 -0.0938 2.2444 Nb
0.0000 0.0000 0.0000 Mn
-3.8902 -0.9677 3.3676 Co
-2.6360 1.8667 0.7616 Rb
-1.8363 -2.7405 0.3616 Rb

---

No. 15
SiRhAu, relaxed, DFT GGA-PBE; formation energy without anion corrections = -0.3229 eV/atom; distance to the lowest polymorph of the same formula = 37 meV per atom
1.0
3.9717 0.0000 0.0000
-1.9858 3.4396 0.0000
0.0000 0.0000 3.4669
Au Rh Si
1 1 1
Cartesian
0.0000 0.0000 3.3436 Au
1.9858 1.1465 1.5705 Rh
0.0000 2.2930 2.0197 Si

---

No. 16
MoSe3I, relaxed, DFT GGA-PBE; formation energy without anion corrections = 0.1736 eV/atom; distance to the lowest polymorph of the same formula = 0 meV per atom
1.0
-0.2550 -4.4841 -2.1544
2.8511 1.6361 -3.7428
4.0768 -1.4247 2.4827
I Mo Se
1 1 3
Cartesian
3.3364 -2.1364 -1.7072 I
0.0000 0.0000 0.0000 Mo
1.4255 0.8180 -1.8714 Se
2.0384 -0.7124 1.2414 Se
-0.1275 -2.2421 -1.0772 Se

---

No. 17
BeCrNi, relaxed, DFT GGA-PBE; energy of formation = -0.086 eV per atom; distance to the lowest polymorph of the same formula = 77 meV per atom
1.0
-0.4951 4.2435 -4.8480
-2.3378 -1.6697 -3.3725
-2.2310 1.0617 0.0330
Be Ni Cr
2 2 2
Cartesian
-3.0983 0.3127 -5.1511 Be
-3.4818 -0.4502 -2.9275 Be
-1.5535 0.6429 -3.5133 Ni
-2.6877 0.8895 -1.1931 Ni
-2.9871 2.6256 -5.7334 Cr
-1.7484 3.1501 -3.8202 Cr

---

No. 18
KBeFe2, relaxed, DFT GGA-PBE; energy of formation = 0.861 eV per atom
1.0
9.4933 0.0623 0.0365
9.1039 2.6918 0.0365
9.1039 1.3483 2.3302
Be K Fe
1 1 2
Cartesian
20.7758 3.0768 1.8024 Be
6.9253 1.0256 0.6008 K
0.5458 0.0808 0.0474 Fe
13.3047 1.9704 1.1542 Fe

---

No. 19
Tb2Y2Er2Tm, relaxed, DFT GGA-PBE; energy of formation = 0.140 eV per atom
1.0
5.6403 0.0000 0.0000
2.8202 4.8847 0.0000
2.8202 1.6282 8.1019
Tb Y Er Tm
2 2 2 1
Cartesian
2.8202 1.6282 4.6448 Tb
8.4605 4.8847 3.4571 Tb
5.6403 3.2564 2.2892 Y
5.6403 3.2564 5.8127 Y
8.4605 4.8847 6.9596 Er
2.8202 1.6282 1.1423 Er
0.0000 0.0000 0.0000 Tm

---

No. 20
LaTb5Pm2Tm, relaxed, DFT GGA-PBE; energy of formation = 0.268 eV per atom
1.0
-6.3593 1.9237 -5.7685
-6.0552 -2.7679 5.7524
5.7163 7.5864 2.9385
La Tb Pm Tm
2 10 4 2
Cartesian
-0.2455 3.5821 1.4652 La
-6.4528 3.1600 1.4572 La
-6.9349 2.6649 -2.0916 Tb
-0.9515 6.3525 -0.7478 Tb
0.2367 4.0772 5.0140 Tb
2.7335 5.6217 1.6563 Tb
-3.4483 4.8080 2.6098 Tb
-9.4318 1.1204 1.2660 Tb
-3.2499 1.9341 0.3126 Tb
-5.7468 0.3896 3.6702 Tb
-6.2073 -0.4221 -0.0081 Tb
0.0000 0.0000 0.0000 Tb
-3.0631 -0.8368 1.5327 Pm
-4.6274 0.8634 -2.8861 Pm
-7.7871 -1.7076 2.8700 Pm
-9.3515 -0.0074 -1.5488 Pm
-3.2731 2.1982 4.3414 Tm
-3.4252 4.5440 -1.4190 Tm

---

No. 21
PmY8Tm4, relaxed, DFT GGA-PBE; energy of formation = 0.211 eV per atom
1.0
-4.1119 -5.0833 3.1918
4.7517 -1.8871 -5.1765
7.5539 2.8076 5.9104
Pm Y Tm
1 8 4
Cartesian
6.1528 0.4602 0.3670 Pm
4.0176 -3.3727 -0.1956 Y
4.1760 -0.7902 4.1213 Y
1.4109 -2.1676 2.0853 Y
2.3180 -3.2350 6.1266 Y
6.7827 -1.9953 1.8404 Y
4.9382 -4.2756 3.2722 Y
3.2554 0.1127 0.6536 Y
5.8756 -0.9279 -2.2009 Y
0.0000 0.0000 0.0000 Tm
2.3758 -0.9436 -2.5882 Tm
0.3199 -3.4852 -0.9923 Tm
-2.0560 -2.5417 1.5959 Tm

---

No. 22
Cs3Li2ErI9, relaxed, DFT GGA-PBE; formation energy without anion corrections = -1.2778 eV/atom
1.0
8.4514 0.0000 0.0000
-4.2257 7.3191 0.0000
0.0000 0.0000 10.4988
Cs Li Er I
3 2 1 9
Cartesian
0.0000 4.8794 7.0825 Cs
0.0000 0.0000 0.0000 Cs
4.2257 2.4397 3.4163 Cs
0.0000 4.8794 1.4705 Li
4.2257 2.4397 9.0283 Li
0.0000 0.0000 5.2494 Er
6.3305 1.2244 6.9837 I
4.2257 4.8702 6.9837 I
2.1208 1.2244 6.9837 I
2.1049 6.0946 3.5151 I
0.0000 2.4489 3.5151 I
-2.1049 6.0946 3.5151 I
4.2257 0.0000 0.0000 I
-2.1128 3.6595 0.0000 I
2.1128 3.6595 0.0000 I

---

No. 23
VASP calculation (GGA-PBE) on a geometry-optimized PmGe3H structure.

Geometry as POSCAR:
```
PmGe3H
1.0
4.4379 0.0000 0.0000
0.0000 4.4379 0.0000
0.0000 0.0000 4.4379
H Ge Pm
1 3 1
Cartesian
0.0000 0.0000 0.0000 H
0.0000 2.2189 0.0000 Ge
0.0000 0.0000 2.2189 Ge
2.2189 0.0000 0.0000 Ge
2.2189 2.2189 2.2189 Pm
```

---

V (A^3/atom)
31.45, 13.48, 17.21, 15.64, 19.56, 15.28, 34.55, 19.00, 14.46, 18.56, 36.51, 53.86, 30.55, 40.89, 15.79, 24.72, 10.10, 14.33, 31.89, 33.36, 31.98, 43.29, 17.48
Energy (eV/cell)
-21.96, -29.95, -28.97, -21.68, -18.84, -46.46, -19.05, -56.36, -70.47, -33.46, -60.60, -3.59, -76.88, -19.57, -17.02, -21.97, -38.77, -18.31, -34.81, -79.28, -71.61, -44.07, -22.74
Fermi-level density of states (states/eV/atom)
0.625, 0.705, 0.240, 0.604, 1.024, 0.902, 1.317, 0.519, 0.449, 0.842, 1.467, 0.877, 1.054, 2.052, 0.274, 1.134, 0.920, 0.868, 2.566, 1.180, 1.269, 1.060, 0.447